Record 1
# Ca3PH | Alexandria via LeMat-Bulk | GGA-PBE | optimized geometry
# Polymorph energy (0 for the lowest one), meV/atom: 0
data_Ca3PH
_chemical_formula_sum 'Ca6 P2 H2'
_symmetry_space_group_name_H-M 'P 1'
_symmetry_Int_Tables_number 1
_symmetry_space_group_name_Hall 'P 1'
_cell_length_a 3.8109
_cell_length_b 7.5092
_cell_length_c 9.0505
_cell_angle_alpha 102.50
_cell_angle_beta 90.00
_cell_angle_gamma 90.00
loop_
_atom_site_label
_atom_site_type_symbol
_atom_site_fract_x
_atom_site_fract_y
_atom_site_fract_z
_atom_site_occupancy
Ca1 Ca 0.2500 0.3929 0.6325 1
Ca2 Ca 0.7500 0.2698 0.0318 1
Ca3 Ca 0.2500 0.7302 0.9682 1
Ca4 Ca 0.7500 0.0560 0.3313 1
Ca5 Ca 0.7500 0.6071 0.3675 1
Ca6 Ca 0.2500 0.9440 0.6687 1
H1 H 0.2500 0.8610 0.4048 1
H2 H 0.7500 0.1390 0.5952 1
P1 P 0.2500 0.3221 0.2944 1
P2 P 0.7500 0.6779 0.7056 1


Record 2
# Ac3Si4Rh | Alexandria via LeMat-Bulk | GGA-PBE | optimized geometry
# Energy relative to the elements, uncorrected, eV per atom: -0.567
data_Ac3Si4Rh
_chemical_formula_sum 'Ac3 Si4 Rh1'
_symmetry_space_group_name_H-M 'P 1'
_symmetry_Int_Tables_number 1
_symmetry_space_group_name_Hall 'P 1'
_cell_length_a 4.3075
_cell_length_b 4.4888
_cell_length_c 10.6481
_cell_angle_alpha 100.46
_cell_angle_beta 101.67
_cell_angle_gamma 90.00
loop_
_atom_site_label
_atom_site_type_symbol
_atom_site_fract_x
_atom_site_fract_y
_atom_site_fract_z
_atom_site_occupancy
Ac1 Ac 0.1622 0.9417 0.3245 1
Ac2 Ac 0.8378 0.0583 0.6755 1
Ac3 Ac 0.0000 0.5000 0.0000 1
Si1 Si 0.6048 0.3822 0.2096 1
Si2 Si 0.2793 0.5199 0.5587 1
Si3 Si 0.3952 0.6178 0.7904 1
Si4 Si 0.7207 0.4801 0.4413 1
Rh1 Rh 0.5000 0.0000 0.0000 1


Record 3
# K2Li2Cd | Alexandria via LeMat-Bulk | GGA-PBE | optimized geometry
# Polymorph energy (0 for the lowest one), meV/atom: 41
# ΔE_f, eV per atom: 0.098
data_K2Li2Cd
_chemical_formula_sum 'K2 Li2 Cd1'
_symmetry_space_group_name_H-M 'P 1'
_symmetry_Int_Tables_number 1
_symmetry_space_group_name_Hall 'P 1'
_cell_length_a 4.1055
_cell_length_b 4.1055
_cell_length_c 11.6380
_cell_angle_alpha 79.84
_cell_angle_beta 79.84
_cell_angle_gamma 90.00
loop_
_atom_site_label
_atom_site_type_symbol
_atom_site_fract_x
_atom_site_fract_y
_atom_site_fract_z
_atom_site_occupancy
Li1 Li 0.2500 0.7500 0.5000 1
Li2 Li 0.7500 0.2500 0.5000 1
K1 K 0.6051 0.6051 0.7899 1
K2 K 0.3949 0.3949 0.2101 1
Cd1 Cd 0.0000 0.0000 0.0000 1


Record 4
# RbMn2Pb2 | Alexandria via LeMat-Bulk | GGA-PBE | optimized geometry
# Polymorph energy (0 for the lowest one), meV/atom: 0
# ΔE_f, eV per atom: 0.393
data_RbMn2Pb2
_chemical_formula_sum 'Rb2 Mn4 Pb4'
_symmetry_space_group_name_H-M 'P 1'
_symmetry_Int_Tables_number 1
_symmetry_space_group_name_Hall 'P 1'
_cell_length_a 8.9629
_cell_length_b 8.9629
_cell_length_c 3.2755
_cell_angle_alpha 90.00
_cell_angle_beta 90.00
_cell_angle_gamma 90.00
loop_
_atom_site_label
_atom_site_type_symbol
_atom_site_fract_x
_atom_site_fract_y
_atom_site_fract_z
_atom_site_occupancy
Mn1 Mn 0.6217 0.1217 0.0000 1
Mn2 Mn 0.3783 0.8783 0.0000 1
Mn3 Mn 0.1217 0.3783 0.0000 1
Mn4 Mn 0.8783 0.6217 0.0000 1
Pb1 Pb 0.6593 0.8407 0.5000 1
Pb2 Pb 0.8407 0.3407 0.5000 1
Pb3 Pb 0.1593 0.6593 0.5000 1
Pb4 Pb 0.3407 0.1593 0.5000 1
Rb1 Rb 0.0000 0.0000 0.0000 1
Rb2 Rb 0.5000 0.5000 0.0000 1


Record 5
# K2Na8Tl3 | Alexandria via LeMat-Bulk | GGA-PBE | optimized geometry
# Polymorph energy (0 for the lowest one), meV/atom: 53
# ΔE_f, eV per atom: 0.022
data_K2Na8Tl3
_chemical_formula_sum 'K2 Na8 Tl3'
_symmetry_space_group_name_H-M 'P 1'
_symmetry_Int_Tables_number 1
_symmetry_space_group_name_Hall 'P 1'
_cell_length_a 7.0972
_cell_length_b 8.9157
_cell_length_c 9.1915
_cell_angle_alpha 119.01
_cell_angle_beta 96.34
_cell_angle_gamma 90.00
loop_
_atom_site_label
_atom_site_type_symbol
_atom_site_fract_x
_atom_site_fract_y
_atom_site_fract_z
_atom_site_occupancy
K1 K 0.2414 0.2038 0.4076 1
K2 K 0.7586 0.7962 0.5924 1
Na1 Na 0.5813 0.5903 0.8085 1
Na2 Na 0.2487 0.8202 0.6403 1
Na3 Na 0.9312 0.5933 0.1866 1
Na4 Na 0.4187 0.4097 0.1915 1
Na5 Na 0.5813 0.2182 0.8085 1
Na6 Na 0.4187 0.7818 0.1915 1
Na7 Na 0.0688 0.4067 0.8134 1
Na8 Na 0.7513 0.1798 0.3597 1
Tl1 Tl 0.0000 0.8267 0.0000 1
Tl2 Tl 0.5000 0.0000 0.0000 1
Tl3 Tl 0.0000 0.1733 0.0000 1


Record 6
# GdCdAg2 | Alexandria via LeMat-Bulk | GGA-PBE | optimized geometry
# ΔE_f, eV per atom: -0.268
data_GdCdAg2
_chemical_formula_sum 'Gd1 Cd1 Ag2'
_symmetry_space_group_name_H-M 'P 1'
_symmetry_Int_Tables_number 1
_symmetry_space_group_name_Hall 'P 1'
_cell_length_a 4.9841
_cell_length_b 4.9836
_cell_length_c 4.9836
_cell_angle_alpha 60.00
_cell_angle_beta 60.00
_cell_angle_gamma 60.00
loop_
_atom_site_label
_atom_site_type_symbol
_atom_site_fract_x
_atom_site_fract_y
_atom_site_fract_z
_atom_site_occupancy
Gd1 Gd 0.2500 0.2500 0.2500 1
Ag1 Ag 0.0001 0.0000 0.0000 1
Ag2 Ag 0.4999 0.5000 0.5000 1
Cd1 Cd 0.7500 0.7500 0.7500 1


Record 7
# Tm5Pa3As8 | Alexandria via LeMat-Bulk | GGA-PBE | optimized geometry
# ΔE_f, eV per atom: -1.322
data_Tm5Pa3As8
_chemical_formula_sum 'Tm5 Pa3 As8'
_symmetry_space_group_name_H-M 'P 1'
_symmetry_Int_Tables_number 1
_symmetry_space_group_name_Hall 'P 1'
_cell_length_a 8.1435
_cell_length_b 8.1435
_cell_length_c 8.1323
_cell_angle_alpha 59.95
_cell_angle_beta 59.95
_cell_angle_gamma 60.00
loop_
_atom_site_label
_atom_site_type_symbol
_atom_site_fract_x
_atom_site_fract_y
_atom_site_fract_z
_atom_site_occupancy
Tm1 Tm 0.5000 0.5000 0.0000 1
Tm2 Tm 0.0000 0.5000 0.0000 1
Tm3 Tm 0.0000 0.0000 0.0000 1
Tm4 Tm 0.5000 0.5000 0.5000 1
Tm5 Tm 0.5000 0.0000 0.0000 1
Pa1 Pa 0.0000 0.5000 0.5000 1
Pa2 Pa 0.0000 0.0000 0.5000 1
Pa3 Pa 0.5000 0.0000 0.5000 1
As1 As 0.7501 0.2506 0.2493 1
As2 As 0.7487 0.7487 0.7539 1
As3 As 0.2499 0.2499 0.7507 1
As4 As 0.2499 0.7494 0.7507 1
As5 As 0.2513 0.2513 0.2461 1
As6 As 0.2506 0.7501 0.2493 1
As7 As 0.7494 0.2499 0.7507 1
As8 As 0.7501 0.7501 0.2493 1


Record 8
# DyPaGe | Alexandria via LeMat-Bulk | GGA-PBE | optimized geometry
# ΔE_f, eV per atom: -0.002
data_DyPaGe
_chemical_formula_sum 'Dy1 Pa1 Ge1'
_symmetry_space_group_name_H-M 'P 1'
_symmetry_Int_Tables_number 1
_symmetry_space_group_name_Hall 'P 1'
_cell_length_a 3.4735
_cell_length_b 4.9669
_cell_length_c 4.9669
_cell_angle_alpha 120.00
_cell_angle_beta 90.00
_cell_angle_gamma 90.00
loop_
_atom_site_label
_atom_site_type_symbol
_atom_site_fract_x
_atom_site_fract_y
_atom_site_fract_z
_atom_site_occupancy
Ge1 Ge 0.9745 0.0000 0.0000 1
Pa1 Pa 0.2755 0.6667 0.3333 1
Dy1 Dy 0.7500 0.3333 0.6667 1